No. 1
Below is an optimized crystal structure of Nd2Al2Ni15, with properties calculated at the GGA-PBE level.

It has space group R-3m (No. 166, hexagonal axes), with a = 8.3656 Å, b = 8.3656 Å, c = 12.4087 Å, α = 90.00°, β = 90.00° and γ = 120.00°. The inequivalent atoms are Nd at (0.0000, 0.0000, 0.1503), Al at (0.0000, 0.0000, 0.3978), Ni at (0.0000, 0.2903, 0.5000), Ni at (0.0000, 0.5000, 0.0000) and Ni at (0.0056, 0.5028, 0.3453).

***

No. 2
Below is an optimized crystal structure of RbCrS2, with properties calculated at the GGA-PBE level.

For the uncorrected formation energy, the calculation gives -0.894 eV/atom.

It has space group C2/c (No. 15), with a = 7.162 Å, b = 12.024 Å, c = 5.437 Å, α = 90.00°, β = 112.07° and γ = 90.00°. The inequivalent atoms are Rb at (0.000, 0.149, 0.250), Cr at (0.000, 0.499, 0.750) and S at (0.184, 0.400, 0.093).

***

No. 3
Below is an optimized crystal structure of K3CuAu2Cl9, with properties calculated at the GGA-PBE level.

For the uncorrected formation energy, the calculation gives -0.979 eV/atom.

It has space group P-3m1 (No. 164), with a = 7.1185 Å, b = 7.1185 Å, c = 8.7414 Å, α = 90.00°, β = 90.00° and γ = 120.00°. The inequivalent atoms are K at (0.0000, 0.0000, 0.0000), K at (0.3333, 0.6667, 0.6572), Cu at (0.0000, 0.0000, 0.5000), Au at (0.3333, 0.6667, 0.1727), Cl at (0.0000, 0.5000, 0.0000) and Cl at (0.1614, 0.3227, 0.3391).

***

No. 4
Below is an optimized crystal structure of AcSi2Pd, with properties calculated at the GGA-PBE level.

For the uncorrected formation energy, the calculation gives -0.560 eV/atom. Its offset from the most stable computed form is 0.1753 eV per atom.

It has space group Amm2 (No. 38), with a = 4.476 Å, b = 6.142 Å, c = 7.128 Å, α = 90.00°, β = 90.00° and γ = 90.00°. The inequivalent atoms are Ac at (0.000, 0.000, 0.000), Si at (0.500, 0.184, 0.701) and Pd at (0.500, 0.000, 0.393).

***

No. 5
Below is an optimized crystal structure of La7Pr12Mg, with properties calculated at the GGA-PBE level.

Its offset from the most stable computed form is 0.4961 eV per atom.

It has space group Im-3 (No. 204), with a = 11.758 Å, b = 11.758 Å, c = 11.758 Å, α = 90.00°, β = 90.00° and γ = 90.00°. The inequivalent atoms are La at (0.000, 0.000, 0.500), La at (0.250, 0.250, 0.250), Pr at (0.000, 0.245, 0.247) and Mg at (0.000, 0.000, 0.000).

***

No. 6
Below is an optimized crystal structure of LiLaTe2Pt, with properties calculated at the GGA-PBE level.

For the uncorrected formation energy, the calculation gives -0.429 eV/atom.

It has space group P4/mmm (No. 123), with a = 5.662 Å, b = 5.662 Å, c = 5.165 Å, α = 90.00°, β = 90.00° and γ = 90.00°. The inequivalent atoms are Li at (0.000, 0.000, 0.000), La at (0.500, 0.500, 0.000), Te at (0.000, 0.500, 0.500) and Pt at (0.500, 0.500, 0.500).

***

No. 7
Below is an optimized crystal structure of Ce2PmRu3, with properties calculated at the GGA-PBE level.

It has space group P6/mmm (No. 191), with a = 6.1221 Å, b = 6.1221 Å, c = 4.0480 Å, α = 90.00°, β = 90.00° and γ = 120.00°. The inequivalent atoms are Ce at (0.3333, 0.6667, 0.0000), Pm at (0.0000, 0.0000, 0.0000) and Ru at (0.0000, 0.5000, 0.5000).

***

No. 8
Below is an optimized crystal structure of Tb2Nd3Er, with properties calculated at the GGA-PBE level.

Its offset from the most stable computed form is 0.1008 eV per atom.

It has space group Cmmm (No. 65), with a = 5.896 Å, b = 18.162 Å, c = 3.763 Å, α = 90.00°, β = 90.00° and γ = 90.00°. The inequivalent atoms are Tb at (0.000, 0.179, 0.000), Nd at (0.000, 0.000, 0.500), Nd at (0.000, 0.347, 0.500) and Er at (0.000, 0.500, 0.000).

***

No. 9
Below is an optimized crystal structure of LiBe2Cr2, with properties calculated at the GGA-PBE level.

Its offset from the most stable computed form is 0.4867 eV per atom.

It has space group I4/mmm (No. 139), with a = 3.363 Å, b = 3.363 Å, c = 10.422 Å, α = 90.00°, β = 90.00° and γ = 90.00°. The inequivalent atoms are Li at (0.000, 0.000, 0.000), Be at (0.000, 0.500, 0.250) and Cr at (0.000, 0.000, 0.410).

***

No. 10
Below is an optimized crystal structure of Al2GaIr, with properties calculated at the GGA-PBE level.

It has space group R3m (No. 160, hexagonal axes), with a = 4.2327 Å, b = 4.2327 Å, c = 12.9545 Å, α = 90.00°, β = 90.00° and γ = 120.00°. The inequivalent atoms are Al at (0.0000, 0.0000, 0.0000), Al at (0.0000, 0.0000, 0.2217), Ga at (0.0000, 0.0000, 0.7876) and Ir at (0.0000, 0.0000, 0.5926).

***

No. 11
Below is an optimized crystal structure of TbNdEr3Th, with properties calculated at the GGA-PBE level.

It has space group P2_1/m (No. 11), with a = 7.938 Å, b = 5.044 Å, c = 10.076 Å, α = 90.00°, β = 108.30° and γ = 90.00°. The inequivalent atoms are Tb at (0.002, 0.250, 0.128), Nd at (0.329, 0.750, 0.707), Er at (0.326, 0.250, 0.457), Er at (0.330, 0.750, 0.208), Er at (0.332, 0.250, 0.957) and Th at (0.001, 0.250, 0.623).

***

Number 1: total DFT energy (no corrections) -327.4 eV per cell, calculated volume 752.1 Å³/cell. Number 2: total DFT energy (no corrections) -89.7 eV per cell, calculated volume 433.9 Å³/cell. Number 3: total DFT energy (no corrections) -45.3 eV per cell, calculated volume 383.6 Å³/cell. Number 4: total DFT energy (no corrections) -44.8 eV per cell, calculated volume 196.0 Å³/cell. Number 5: total DFT energy (no corrections) -164.5 eV per cell, calculated volume 1625.3 Å³/cell. Number 6: total DFT energy (no corrections) -21.3 eV per cell, calculated volume 165.6 Å³/cell. Number 7: total DFT energy (no corrections) -45.8 eV per cell, calculated volume 131.4 Å³/cell. Number 8: total DFT energy (no corrections) -55.1 eV per cell, calculated volume 403.0 Å³/cell. Number 9: total DFT energy (no corrections) -49.7 eV per cell, calculated volume 117.8 Å³/cell. Number 10: total DFT energy (no corrections) -63.0 eV per cell, calculated volume 201.0 Å³/cell. Number 11: total DFT energy (no corrections) -60.6 eV per cell, calculated volume 383.0 Å³/cell.